(1)
## AlPb2Au2 (PBE-GGA)

Data for a relaxed AlPb2Au2 crystal.

Output
- DOS at the Fermi energy (states/eV per atom) = 0.60
- crystal system = tetragonal
- magnetic moment (Bohr magnetons per cell) = 0.00
- energy of formation (eV/atom) = -0.063

a = 6.868 Å, b = 6.868 Å, c = 5.072 Å
α = 90.00°, β = 90.00°, γ = 90.00°
Space group P4/mbm (No. 127)
Symmetry-distinct sites (fractional):
Al1 0.000 0.000 0.000 x2
Pb1 0.176 0.324 0.500 x4
Au1 0.149 0.649 0.000 x4

(2)
## AlPb2Au (PBE-GGA)

Data for a relaxed AlPb2Au crystal.

Output
- DOS at the Fermi energy (states/eV per atom) = 0.33
- crystal system = tetragonal
- magnetic moment (Bohr magnetons per cell) = 0.00
- energy of formation (eV/atom) = 0.132

a = 4.863 Å, b = 4.863 Å, c = 8.307 Å
α = 90.00°, β = 90.00°, γ = 90.00°
Space group I4/mmm (No. 139)
Symmetry-distinct sites (fractional):
Al1 0.000 0.000 0.000 x2
Pb1 0.000 0.500 0.250 x4
Au1 0.000 0.000 0.500 x2

(3)
## AlPbAu2 (PBE-GGA)

Data for a relaxed AlPbAu2 crystal.

Output
- E above lowest polymorph (kJ/mol of atoms) = 26.0
- DOS at the Fermi energy (states/eV per atom) = 0.60
- crystal system = cubic
- magnetic moment (Bohr magnetons per cell) = 0.00
- energy of formation (eV/atom) = 0.041

a = 6.976 Å, b = 6.976 Å, c = 6.976 Å
α = 90.00°, β = 90.00°, γ = 90.00°
Space group Fm-3m (No. 225)
Symmetry-distinct sites (fractional):
Al1 0.000 0.000 0.000 x4
Pb1 0.000 0.000 0.500 x4
Au1 0.250 0.250 0.250 x8

(4)
## AlPbAu (PBE-GGA)

Data for a relaxed AlPbAu crystal.

Output
- DOS at the Fermi energy (states/eV per atom) = 0.39
- crystal system = monoclinic
- magnetic moment (Bohr magnetons per cell) = 0.00
- energy of formation (eV/atom) = -0.138

a = 4.831 Å, b = 4.853 Å, c = 6.045 Å
α = 90.00°, β = 98.10°, γ = 90.00°
Space group P2_1 (No. 4)
Symmetry-distinct sites (fractional):
Al1 0.133 0.000 0.415 x2
Pb1 0.238 0.189 0.941 x2
Au1 0.335 0.501 0.420 x2

(5)
## AlPbAu (PBE-GGA)

Data for a relaxed AlPbAu crystal.

Output
- DOS at the Fermi energy (states/eV per atom) = 0.35
- crystal system = monoclinic
- magnetic moment (Bohr magnetons per cell) = 0.00
- energy of formation (eV/atom) = -0.140

a = 3.672 Å, b = 5.774 Å, c = 6.596 Å
α = 90.00°, β = 106.09°, γ = 90.00°
Space group P2_1/m (No. 11)
Symmetry-distinct sites (fractional):
Al1 0.000 0.000 0.000 x2
Pb1 0.305 0.250 0.611 x2
Au1 0.401 0.750 0.802 x2

(6)
## Al3PbAu3 (PBE-GGA)

Data for a relaxed Al3PbAu3 crystal.

Output
- DOS at the Fermi energy (states/eV per atom) = 0.37
- crystal system = cubic
- magnetic moment (Bohr magnetons per cell) = 0.00
- energy of formation (eV/atom) = -0.020

a = 7.047 Å, b = 7.047 Å, c = 7.047 Å
α = 90.00°, β = 90.00°, γ = 90.00°
Space group Pm-3n (No. 223)
Symmetry-distinct sites (fractional):
Al1 0.000 0.250 0.500 x6
Pb1 0.000 0.000 0.000 x2
Au1 0.000 0.500 0.250 x6

(7)
## AlPb2Au (PBE-GGA)

Data for a relaxed AlPb2Au crystal.

Output
- DOS at the Fermi energy (states/eV per atom) = 0.49
- crystal system = trigonal
- magnetic moment (Bohr magnetons per cell) = 0.00
- energy of formation (eV/atom) = 0.147

a = 3.7404 Å, b = 3.7404 Å, c = 25.5486 Å
α = 90.00°, β = 90.00°, γ = 120.00°
Space group R-3m (No. 166, hexagonal axes)
Symmetry-distinct sites (fractional):
Al1 0.0000 0.0000 0.0000 x3
Pb1 0.0000 0.0000 0.2468 x6
Au1 0.0000 0.0000 0.5000 x3

(8)
## AlPbAu2 (PBE-GGA)

Data for a relaxed AlPbAu2 crystal.

Output
- E above lowest polymorph (kJ/mol of atoms) = 0.0
- DOS at the Fermi energy (states/eV per atom) = 0.30
- crystal system = monoclinic
- magnetic moment (Bohr magnetons per cell) = 0.00
- energy of formation (eV/atom) = -0.229

a = 5.732 Å, b = 3.911 Å, c = 7.891 Å
α = 90.00°, β = 105.87°, γ = 90.00°
Space group P2_1/m (No. 11)
Symmetry-distinct sites (fractional):
Al1 0.136 0.250 0.410 x2
Pb1 0.280 0.750 0.082 x2
Au1 0.134 0.250 0.747 x2
Au2 0.428 0.750 0.621 x2

(9)
## AlPb2Au (PBE-GGA)

Data for a relaxed AlPb2Au crystal.

Output
- DOS at the Fermi energy (states/eV per atom) = 0.41
- crystal system = orthorhombic
- magnetic moment (Bohr magnetons per cell) = 0.00
- energy of formation (eV/atom) = 0.019

a = 3.501 Å, b = 5.494 Å, c = 10.358 Å
α = 90.00°, β = 90.00°, γ = 90.00°
Space group Imm2 (No. 44)
Symmetry-distinct sites (fractional):
Al1 0.000 0.000 0.000 x2
Pb1 0.000 0.000 0.442 x2
Pb2 0.000 0.500 0.237 x2
Au1 0.000 0.500 0.681 x2

(10)
## AlPb2Au (PBE-GGA)

Data for a relaxed AlPb2Au crystal.

Output
- DOS at the Fermi energy (states/eV per atom) = 0.36
- crystal system = monoclinic
- magnetic moment (Bohr magnetons per cell) = 0.00
- energy of formation (eV/atom) = -0.089

a = 7.632 Å, b = 4.406 Å, c = 6.939 Å
α = 90.00°, β = 112.03°, γ = 90.00°
Space group Cm (No. 8)
Symmetry-distinct sites (fractional):
Al1 0.000 0.000 0.000 x2
Pb1 0.236 0.000 0.712 x2
Pb2 0.434 0.000 0.298 x2
Au1 0.170 0.500 0.011 x2

(11)
## AlPbAu2 (PBE-GGA)

Data for a relaxed AlPbAu2 crystal.

Output
- E above lowest polymorph (kJ/mol of atoms) = 7.4
- DOS at the Fermi energy (states/eV per atom) = 0.31
- crystal system = monoclinic
- magnetic moment (Bohr magnetons per cell) = 0.00
- energy of formation (eV/atom) = -0.152

a = 3.397 Å, b = 3.943 Å, c = 6.746 Å
α = 90.00°, β = 90.05°, γ = 90.00°
Space group Pm (No. 6)
Symmetry-distinct sites (fractional):
Al1 0.000 0.000 0.000 x1
Pb1 0.999 0.500 0.465 x1
Au1 0.499 0.000 0.706 x1
Au2 0.500 0.500 0.066 x1

(12)
## AlPbAu (PBE-GGA)

Data for a relaxed AlPbAu crystal.

Output
- DOS at the Fermi energy (states/eV per atom) = 0.42
- crystal system = monoclinic
- magnetic moment (Bohr magnetons per cell) = 0.00
- energy of formation (eV/atom) = -0.145

a = 5.236 Å, b = 4.277 Å, c = 6.346 Å
α = 90.00°, β = 99.93°, γ = 90.00°
Space group Pm (No. 6)
Symmetry-distinct sites (fractional):
Al1 0.000 0.000 0.000 x1
Al2 0.355 0.500 0.195 x1
Pb1 0.196 0.500 0.653 x1
Pb2 0.668 0.000 0.526 x1
Au1 0.489 0.000 0.992 x1
Au2 0.860 0.500 0.183 x1

(13)
## AlPb4Au (PBE-GGA)

Data for a relaxed AlPb4Au crystal.

Output
- DOS at the Fermi energy (states/eV per atom) = 0.54
- crystal system = cubic
- magnetic moment (Bohr magnetons per cell) = 0.00
- energy of formation (eV/atom) = 0.440

a = 9.025 Å, b = 9.025 Å, c = 9.025 Å
α = 90.00°, β = 90.00°, γ = 90.00°
Space group F-43m (No. 216)
Symmetry-distinct sites (fractional):
Al1 0.000 0.000 0.000 x4
Pb1 0.125 0.125 0.375 x16
Au1 0.250 0.250 0.750 x4

(14)
## AlPbAu2 (PBE-GGA)

Data for a relaxed AlPbAu2 crystal.

Output
- E above lowest polymorph (kJ/mol of atoms) = 21.6
- DOS at the Fermi energy (states/eV per atom) = 0.38
- crystal system = orthorhombic
- magnetic moment (Bohr magnetons per cell) = 0.00
- energy of formation (eV/atom) = -0.005

a = 3.167 Å, b = 5.281 Å, c = 10.126 Å
α = 90.00°, β = 90.00°, γ = 90.00°
Space group Imm2 (No. 44)
Symmetry-distinct sites (fractional):
Al1 0.000 0.000 0.000 x2
Pb1 0.000 0.500 0.230 x2
Au1 0.000 0.000 0.453 x2
Au2 0.000 0.500 0.703 x2

(15)
## Pr2Al4PbAu3 (PBE-GGA)

Data for a relaxed Pr2Al4PbAu3 crystal.

Output
- DOS at the Fermi energy (states/eV per atom) = 0.41
- crystal system = tetragonal
- magnetic moment (Bohr magnetons per cell) = 0.00
- energy of formation (eV/atom) = -0.609

a = 4.480 Å, b = 4.480 Å, c = 10.827 Å
α = 90.00°, β = 90.00°, γ = 90.00°
Space group P-4m2 (No. 115)
Symmetry-distinct sites (fractional):
Pr1 0.000 0.500 0.240 x2
Al1 0.000 0.000 0.000 x1
Al2 0.000 0.500 0.651 x2
Al3 0.500 0.500 0.000 x1
Pb1 0.000 0.000 0.500 x1
Au1 0.000 0.500 0.879 x2
Au2 0.500 0.500 0.500 x1

(16)
## AlSbPbAu3 (PBE-GGA)

Data for a relaxed AlSbPbAu3 crystal.

Output
- DOS at the Fermi energy (states/eV per atom) = 0.33
- crystal system = monoclinic
- magnetic moment (Bohr magnetons per cell) = 0.00
- raw formation energy (eV per atom) = -0.110

a = 6.465 Å, b = 14.283 Å, c = 6.325 Å
α = 90.00°, β = 110.70°, γ = 90.00°
Space group C2/c (No. 15)
Symmetry-distinct sites (fractional):
Al1 0.000 0.021 0.250 x4
Sb1 0.000 0.400 0.250 x4
Pb1 0.000 0.233 0.750 x4
Au1 0.000 0.203 0.250 x4
Au2 0.226 0.423 0.932 x8

(17)
## AlSnPbAu3 (PBE-GGA)

Data for a relaxed AlSnPbAu3 crystal.

Output
- DOS at the Fermi energy (states/eV per atom) = 0.43
- crystal system = monoclinic
- magnetic moment (Bohr magnetons per cell) = 0.00
- energy of formation (eV/atom) = -0.149

a = 6.557 Å, b = 14.401 Å, c = 6.218 Å
α = 90.00°, β = 112.52°, γ = 90.00°
Space group C2/c (No. 15)
Symmetry-distinct sites (fractional):
Al1 0.000 0.022 0.250 x4
Sn1 0.000 0.402 0.250 x4
Pb1 0.000 0.234 0.750 x4
Au1 0.000 0.204 0.250 x4
Au2 0.226 0.423 0.929 x8

(18)
## AlSnPb2Au6 (PBE-GGA)

Data for a relaxed AlSnPb2Au6 crystal.

Output
- DOS at the Fermi energy (states/eV per atom) = 0.30
- crystal system = triclinic
- magnetic moment (Bohr magnetons per cell) = 0.00
- energy of formation (eV/atom) = -0.087

a = 5.531 Å, b = 6.951 Å, c = 7.116 Å
α = 80.99°, β = 67.85°, γ = 67.80°
Space group P-1 (No. 2)
Symmetry-distinct sites (fractional):
Al1 0.000 0.000 0.000 x1
Sn1 0.500 0.500 0.500 x1
Pb1 0.282 0.209 0.273 x2
Au1 0.195 0.613 0.904 x2
Au2 0.250 0.207 0.709 x2
Au3 0.299 0.769 0.210 x2

(19)
## SrAl2PbAu5 (PBE-GGA)

Data for a relaxed SrAl2PbAu5 crystal.

Output
- DOS at the Fermi energy (states/eV per atom) = 0.43
- crystal system = tetragonal
- magnetic moment (Bohr magnetons per cell) = 0.00
- energy of formation (eV/atom) = -0.347

a = 4.971 Å, b = 4.971 Å, c = 8.046 Å
α = 90.00°, β = 90.00°, γ = 90.00°
Space group P4/mmm (No. 123)
Symmetry-distinct sites (fractional):
Sr1 0.000 0.000 0.000 x1
Al1 0.500 0.500 0.337 x2
Pb1 0.000 0.000 0.500 x1
Au1 0.000 0.500 0.247 x4
Au2 0.500 0.500 0.000 x1

(20)
## Sr2Al4PbAu3 (PBE-GGA)

Data for a relaxed Sr2Al4PbAu3 crystal.

Output
- DOS at the Fermi energy (states/eV per atom) = 0.56
- crystal system = tetragonal
- magnetic moment (Bohr magnetons per cell) = 0.00
- energy of formation (eV/atom) = -0.513

a = 4.563 Å, b = 4.563 Å, c = 10.979 Å
α = 90.00°, β = 90.00°, γ = 90.00°
Space group P-4m2 (No. 115)
Symmetry-distinct sites (fractional):
Sr1 0.000 0.500 0.243 x2
Al1 0.000 0.000 0.000 x1
Al2 0.000 0.500 0.649 x2
Al3 0.500 0.500 0.000 x1
Pb1 0.000 0.000 0.500 x1
Au1 0.000 0.500 0.880 x2
Au2 0.500 0.500 0.500 x1

(21)
## Sr2AlPb2Au4 (PBE-GGA)

Data for a relaxed Sr2AlPb2Au4 crystal.

Output
- DOS at the Fermi energy (states/eV per atom) = 0.69
- crystal system = tetragonal
- magnetic moment (Bohr magnetons per cell) = 0.00
- energy of formation (eV/atom) = -0.454

a = 7.008 Å, b = 7.008 Å, c = 9.462 Å
α = 90.00°, β = 90.00°, γ = 90.00°
Space group I4/mmm (No. 139)
Symmetry-distinct sites (fractional):
Sr1 0.000 0.500 0.250 x4
Al1 0.000 0.000 0.000 x2
Pb1 0.000 0.000 0.315 x4
Au1 0.245 0.245 0.500 x8

(22)
## AlTlPb2Au6 (PBE-GGA)

Data for a relaxed AlTlPb2Au6 crystal.

Output
- DOS at the Fermi energy (states/eV per atom) = 0.34
- crystal system = triclinic
- magnetic moment (Bohr magnetons per cell) = 0.00
- energy of formation (eV/atom) = -0.123

a = 4.345 Å, b = 7.016 Å, c = 8.665 Å
α = 103.92°, β = 104.46°, γ = 107.71°
Space group P-1 (No. 2)
Symmetry-distinct sites (fractional):
Al1 0.000 0.000 0.000 x1
Tl1 0.000 0.500 0.500 x1
Pb1 0.423 0.156 0.691 x2
Au1 0.149 0.357 0.940 x2
Au2 0.257 0.176 0.335 x2
Au3 0.324 0.766 0.880 x2

(23)
## AlZnPbAu2 (PBE-GGA)

Data for a relaxed AlZnPbAu2 crystal.

Output
- DOS at the Fermi energy (states/eV per atom) = 0.47
- crystal system = tetragonal
- magnetic moment (Bohr magnetons per cell) = 0.00
- energy of formation (eV/atom) = -0.200

a = 4.032 Å, b = 4.032 Å, c = 12.637 Å
α = 90.00°, β = 90.00°, γ = 90.00°
Space group I-4m2 (No. 119)
Symmetry-distinct sites (fractional):
Al1 0.000 0.000 0.000 x2
Zn1 0.000 0.000 0.500 x2
Pb1 0.000 0.500 0.250 x2
Au1 0.000 0.500 0.634 x4

(24)
## AlPdAu (PBE-GGA)

Data for a relaxed AlPdAu crystal.

Output
- E above lowest polymorph (kJ/mol of atoms) = 6.1
- DOS at the Fermi energy (states/eV per atom) = 0.32
- crystal system = tetragonal
- magnetic moment (Bohr magnetons per cell) = 0.00
- energy of formation (eV/atom) = -0.506

a = 3.083 Å, b = 3.083 Å, c = 21.016 Å
α = 90.00°, β = 90.00°, γ = 90.00°
Space group I4/mmm (No. 139)
Symmetry-distinct sites (fractional):
Al1 0.000 0.000 0.142 x4
Pd1 0.000 0.000 0.296 x4
Au1 0.000 0.000 0.436 x4

(25)
## Al3Pd5Au (PBE-GGA)

Data for a relaxed Al3Pd5Au crystal.

Output
- DOS at the Fermi energy (states/eV per atom) = 0.32
- crystal system = hexagonal
- magnetic moment (Bohr magnetons per cell) = 0.00
- energy of formation (eV/atom) = -0.703

a = 7.5323 Å, b = 7.5323 Å, c = 5.5710 Å
α = 90.00°, β = 90.00°, γ = 120.00°
Space group P6_3/mcm (No. 193)
Symmetry-distinct sites (fractional):
Al1 0.0000 0.3502 0.2500 x6
Pd1 0.0000 0.3240 0.7500 x6
Pd2 0.3333 0.6667 0.0000 x4
Au1 0.0000 0.0000 0.0000 x2

Going through the records in order, we get final energy values of -0.1325; -0.1278; -0.1272; -0.1365; -0.1366; -0.1308; -0.1272; -0.1371; -0.1320; -0.1359; -0.1343; -0.1367; -0.1177; -0.1289; -0.1623; -0.1352; -0.1359; -0.1312; -0.1322; -0.1360; -0.1295; -0.1265; -0.1196; -0.1682; -0.1911 hartree per atom.